# PaFe2Ru, optimized geometry, DFT PBE
# Crystal system ... tetragonal
# Energy of formation ... -133 meV per atom
# E above lowest polymorph ... 0.00 kcal/mol of atoms
data_PaFe2Ru
_chemical_formula_sum 'Pa1 Fe2 Ru1'
_space_group_name_H-M_alt 'P 4/m m m'
_space_group_IT_number 123
_space_group_name_Hall '-P 4 2'
_cell_length_a 3.824
_cell_length_b 3.824
_cell_length_c 4.328
_cell_angle_alpha 90.00
_cell_angle_beta 90.00
_cell_angle_gamma 90.00
loop_
_atom_site_label
_atom_site_fract_x
_atom_site_fract_y
_atom_site_fract_z
Pa1 0.000 0.000 0.000
Fe1 0.000 0.500 0.500
Ru1 0.500 0.500 0.000